1.
Density functional theory data (PBE-GGA) for a relaxed structure of PuTh2Ga6.

- formation enthalpy at 0 K (eV per atom) = -0.53
- calculated total energy (eV/cell) = -52.08

Structure (POSCAR):
```
PuTh2Ga6
1.0
4.222 0.000 0.000
0.000 6.402 -3.696
0.000 0.000 7.393
Th Ga Pu
2 6 1
Cartesian
0.000 2.134 3.696 Th
4.222 4.268 0.000 Th
2.111 6.402 -1.241 Ga
2.111 4.276 4.924 Ga
2.111 0.000 4.938 Ga
2.111 2.126 -1.228 Ga
2.111 2.126 1.228 Ga
2.111 4.276 2.469 Ga
0.000 0.000 7.393 Pu
```

=====

2.
Density functional theory data (PBE-GGA) for a relaxed structure of PuThGa4.

- offset from the most stable computed form (eV per atom) = 0.0000
- formation enthalpy at 0 K (eV per atom) = -0.46
- calculated total energy (eV/cell) = -36.63

Structure (POSCAR):
```
PuThGa4
1.0
4.037 0.000 -1.246
-0.385 4.018 -1.246
0.264 0.291 8.015
Th Ga Pu
1 4 1
Cartesian
0.000 0.000 0.000 Th
3.407 1.528 3.873 Ga
1.741 1.915 5.637 Ga
2.720 0.772 1.649 Ga
2.175 2.393 -0.116 Ga
0.853 3.159 2.761 Pu
```

=====

3.
Density functional theory data (PBE-GGA) for a relaxed structure of PuThGa4.

- offset from the most stable computed form (eV per atom) = 0.0088
- formation enthalpy at 0 K (eV per atom) = -0.45
- calculated total energy (eV/cell) = -36.58

Structure (POSCAR):
```
PuThGa4
1.0
4.563 0.000 0.000
-2.281 3.952 0.000
0.000 0.000 7.060
Th Pu Ga
1 1 4
Cartesian
0.000 0.000 3.530 Th
0.000 0.000 0.000 Pu
0.000 2.634 5.420 Ga
2.281 1.317 5.420 Ga
2.281 1.317 1.640 Ga
0.000 2.634 1.640 Ga
```

=====

4.
Density functional theory data (PBE-GGA) for a relaxed structure of PuTh2Ga.

- offset from the most stable computed form (eV per atom) = 0.6766
- formation enthalpy at 0 K (eV per atom) = 0.50
- calculated total energy (eV/cell) = -30.19

Structure (POSCAR):
```
PuTh2Ga
1.0
3.732 0.000 0.000
1.866 3.232 0.000
1.866 1.077 8.138
Ga Th Pu
1 2 1
Cartesian
0.000 0.000 0.000 Ga
5.598 3.232 5.779 Th
1.866 1.077 2.359 Th
3.732 2.155 4.069 Pu
```

=====

5.
Density functional theory data (PBE-GGA) for a relaxed structure of PuThGa4.

- offset from the most stable computed form (eV per atom) = 0.0177
- formation enthalpy at 0 K (eV per atom) = -0.44
- calculated total energy (eV/cell) = -36.52

Structure (POSCAR):
```
PuThGa4
1.0
5.574 0.000 0.000
2.787 4.827 0.000
2.787 1.609 4.551
Ga Pu Th
4 1 1
Cartesian
6.962 4.020 2.842 Ga
5.574 3.218 0.575 Ga
4.185 4.020 2.842 Ga
5.574 1.615 2.842 Ga
2.787 1.609 1.138 Pu
0.000 0.000 0.000 Th
```

=====

6.
Density functional theory data (PBE-GGA) for a relaxed structure of Pu2ThGa6.

- offset from the most stable computed form (eV per atom) = 0.1667
- formation enthalpy at 0 K (eV per atom) = -0.25
- calculated total energy (eV/cell) = -56.48

Structure (POSCAR):
```
Pu2ThGa6
1.0
4.426 0.000 0.000
2.213 7.324 1.002
2.213 3.063 6.728
Ga Pu Th
6 2 1
Cartesian
2.213 2.445 3.545 Ga
2.213 6.526 2.076 Ga
2.213 3.862 5.655 Ga
6.639 7.943 4.186 Ga
6.639 6.291 6.407 Ga
2.213 4.097 1.324 Ga
2.213 1.253 0.933 Pu
6.639 9.135 6.798 Pu
4.426 5.194 3.865 Th
```

=====

7.
Density functional theory data (PBE-GGA) for a relaxed structure of PuTh2Ga2.

- formation enthalpy at 0 K (eV per atom) = -0.32
- calculated total energy (eV/cell) = -73.61

Structure (POSCAR):
```
PuTh2Ga2
1.0
4.295 0.000 0.000
0.000 7.814 0.000
0.000 0.000 7.814
Pu Ga Th
2 4 4
Cartesian
0.000 3.907 3.907 Pu
0.000 0.000 0.000 Pu
0.000 0.917 2.990 Ga
0.000 2.990 6.898 Ga
0.000 6.898 4.824 Ga
0.000 4.824 0.917 Ga
2.147 1.410 5.318 Th
2.147 6.404 2.497 Th
2.147 2.497 1.410 Th
2.147 5.318 6.404 Th
```

=====

8.
Density functional theory data (PBE-GGA) for a relaxed structure of PuThGa.

- offset from the most stable computed form (eV per atom) = 0.0602
- formation enthalpy at 0 K (eV per atom) = -0.20
- calculated total energy (eV/cell) = -25.38

Structure (POSCAR):
```
PuThGa
1.0
-2.063 0.024 3.310
-0.162 -3.897 -0.072
5.241 1.717 0.956
Ga Pu Th
1 1 1
Cartesian
2.361 -0.125 1.472 Ga
2.515 -2.128 3.882 Pu
-0.083 -1.991 2.261 Th
```